First-principles (PBEsol) data for crystalline Zr2AsRu at its relaxed geometry, as listed in Alexandria.

The structure belongs to space group P2/m (No. 10); the cell edges are 3.264, 3.338 and 6.555 Å and the angles 90.00°, 96.90° and 90.00°. The asymmetric unit holds Zr at (0.020, 0.000, 0.246), As at (0.500, 0.500, 0.500) and Ru at (0.500, 0.500, 0.000).

The calculation puts the energy of formation from the pure elements at -0.63 eV/atom. The total energy comes out at -8.997 eV per atom.

First-principles (PBEsol) data for crystalline BTeS3 at its relaxed geometry, as listed in Alexandria.

The structure belongs to space group Pm-3m (No. 221); the cell edges are 4.990, 4.990 and 4.990 Å and the angles 90.00°, 90.00° and 90.00°. The asymmetric unit holds B at (0.000, 0.000, 0.000), Te at (0.500, 0.500, 0.500) and S at (0.000, 0.500, 0.500).

The energy above the most stable polymorph in this dataset is 999.5 meV per atom. For the uncorrected formation energy, the calculation gives 1.4515 eV/atom. The total energy comes out at -3.287 eV per atom.

First-principles (PBEsol) data for crystalline TcPb3N at its relaxed geometry, as listed in Alexandria.

The structure belongs to space group Pm-3m (No. 221); the cell edges are 5.204, 5.204 and 5.204 Å and the angles 90.00°, 90.00° and 90.00°. The asymmetric unit holds Tc at (0.000, 0.000, 0.000), Pb at (0.000, 0.000, 0.500) and N at (0.500, 0.500, 0.500).

For the uncorrected formation energy, the calculation gives 1.2653 eV/atom. The total energy comes out at -5.092 eV per atom.